<P>
First-principles (PBE-GGA) data for crystalline KBr2Cl at its relaxed geometry, as listed in Alexandria via LeMat-Bulk.

The structure in POSCAR format:
```
KBr2Cl
1.0
4.2236 0.1922 0.0000
-0.6941 4.1706 0.0000
0.0000 0.0000 8.4345
Br Cl K
2 1 1
direct
0.5000 0.5000 0.1137 Br
0.0000 0.0000 0.1142 Br
0.0000 0.0000 0.6065 Cl
0.5000 0.5000 0.6656 K
```

## Properties
Volume (A^3/atom): 37.4
DOS at the Fermi energy (states/eV/cell): 5.409

=====

<Q>
First-principles (PBE-GGA) data for crystalline KBr2Cl at its relaxed geometry, as listed in Alexandria via LeMat-Bulk.

The structure in POSCAR format:
```
KBr2Cl
1.0
-5.6179 2.5220 6.2828
-8.5884 1.1206 1.5420
7.0538 -4.4685 -2.7697
Br K Cl
2 1 1
direct
0.0153 0.0153 0.0000 Br
0.7745 0.2745 0.5000 Br
0.1917 0.6917 0.5000 K
0.5184 0.5184 0.0000 Cl
```

## Properties
Volume (A^3/atom): 34.4
DOS at the Fermi energy (states/eV/cell): 2.261

=====

Which of them is most stable, and which least? Most stable: <P>; least stable: <Q>.

=====

<P>
First-principles (PBE-GGA) data for crystalline KBr2Cl at its relaxed geometry, as listed in Alexandria via LeMat-Bulk.

The structure in POSCAR format:
```
KBr2Cl
1.0
-1.5378 3.5070 1.6577
-3.5232 -0.5112 -2.1869
-3.2683 -4.4091 6.2960
Cl Br K
1 2 1
direct
0.5000 0.0000 0.5000 Cl
0.5000 0.5000 0.0000 Br
0.0000 0.0000 0.0000 Br
0.0000 0.5000 0.5000 K
```

## Properties
Volume (A^3/atom): 36.4
DOS at the Fermi energy (states/eV/cell): 5.510

=====

<Q>
First-principles (PBE-GGA) data for crystalline KBr2Cl at its relaxed geometry, as listed in Alexandria via LeMat-Bulk.

The structure in POSCAR format:
```
KBr2Cl
1.0
5.4395 0.0000 0.0000
0.0000 4.2791 0.0595
0.0000 4.1950 5.8250
Cl K Br
1 1 2
direct
0.0000 0.5010 0.6248 Cl
0.5000 0.9988 0.6255 K
0.0000 0.0004 0.1248 Br
0.5000 0.9998 0.1249 Br
```

## Properties
Volume (A^3/atom): 33.6
DOS at the Fermi energy (states/eV/cell): 3.203

=====

<R>
First-principles (PBE-GGA) data for crystalline KBr2Cl at its relaxed geometry, as listed in Alexandria via LeMat-Bulk.

The structure in POSCAR format:
```
KBr2Cl
1.0
-0.4286 4.2239 -6.5843
-3.3022 0.1408 -7.1031
-4.9796 4.0727 -4.4715
K Br Cl
1 2 1
direct
0.7833 0.7833 0.7833 K
0.9547 0.9547 0.9547 Br
0.2871 0.2871 0.2871 Br
0.4749 0.4749 0.4749 Cl
```

## Properties
Volume (A^3/atom): 39.7
DOS at the Fermi energy (states/eV/cell): 4.541

=====

<S>
First-principles (PBE-GGA) data for crystalline KBr2Cl at its relaxed geometry, as listed in Alexandria via LeMat-Bulk.

The structure in POSCAR format:
```
KBr2Cl
1.0
4.8874 0.0000 0.0000
0.0000 4.8969 0.0000
0.0000 0.0000 6.3066
Br Cl K
2 1 1
direct
0.5000 0.5000 0.2426 Br
0.0000 0.0000 0.9382 Br
0.0000 0.0000 0.5800 Cl
0.5000 0.5000 0.7391 K
```

## Properties
Volume (A^3/atom): 37.7
DOS at the Fermi energy (states/eV/cell): 2.790

=====

Which of them is most stable, and which least? Most stable: <Q>; least stable: <S>.